1.
Entry from Alexandria via LeMat-Bulk: a geometry-optimized InTcW structure (PBE-GGA). Values from VASP.

Structure (Quantum ESPRESSO input):
```
&SYSTEM
  ibrav = 0, nat = 3, ntyp = 3
/
ATOMIC_SPECIES
In 114.82 In.upf
Tc 98.00 Tc.upf
W 183.84 W.upf
CELL_PARAMETERS angstrom
2.9511 0.0000 0.0000
-1.4755 2.5557 0.0000
0.0000 0.0000 6.8851
ATOMIC_POSITIONS crystal
In 0.0000 0.0000 0.0000
Tc 0.6667 0.3333 0.3483
W 0.3333 0.6667 0.6381
```

Calculated values
energy above the most stable polymorph in this dataset = 118.7 meV per atom
size of the total moment = 0.0 μB per formula unit
uncorrected energy = -25.05 eV/f.u.
crystal system = trigonal
space group = P3m1 (156)
formation energy from the elements = 1.01 eV per formula unit



2.
Entry from Alexandria via LeMat-Bulk: a geometry-optimized Na2TmZr2Se6 structure (PBE-GGA). Values from VASP.

Structure (Quantum ESPRESSO input):
```
&SYSTEM
  ibrav = 0, nat = 11, ntyp = 4
/
ATOMIC_SPECIES
Na 22.99 Na.upf
Tm 168.93 Tm.upf
Zr 91.22 Zr.upf
Se 78.96 Se.upf
CELL_PARAMETERS angstrom
3.3711 -5.8689 0.0000
3.3711 5.8689 0.0000
-2.2313 0.0000 7.1992
ATOMIC_POSITIONS crystal
Na 0.1639 0.8361 0.0000
Na 0.8361 0.1639 0.0000
Tm 0.0000 0.0000 0.5000
Zr 0.3331 0.6669 0.5000
Zr 0.6669 0.3331 0.5000
Se 0.0741 0.4157 0.7232
Se 0.2708 0.2708 0.2769
Se 0.4157 0.0741 0.7232
Se 0.5843 0.9259 0.2768
Se 0.7292 0.7292 0.7231
Se 0.9259 0.5843 0.2768
```

Calculated values
size of the total moment = 0.0 μB per formula unit
uncorrected energy = -61.11 eV/f.u.
crystal system = monoclinic
space group = C2/m (12)
E_form (uncorrected) = -1.454 eV per atom



3.
Entry from Alexandria via LeMat-Bulk: a geometry-optimized Nd2BiOF structure (PBE-GGA). Values from VASP.

Structure (Quantum ESPRESSO input):
```
&SYSTEM
  ibrav = 0, nat = 10, ntyp = 4
/
ATOMIC_SPECIES
Nd 144.24 Nd.upf
Bi 208.98 Bi.upf
O 16.00 O.upf
F 19.00 F.upf
CELL_PARAMETERS angstrom
4.0763 0.0000 0.0000
0.0000 4.0763 0.0000
0.0000 0.0000 13.0552
ATOMIC_POSITIONS crystal
Nd 0.0000 0.0000 0.1488
Nd 0.0000 0.0000 0.8512
Nd 0.5000 0.5000 0.3512
Nd 0.5000 0.5000 0.6488
Bi 0.0000 0.0000 0.5000
Bi 0.5000 0.5000 0.0000
O 0.0000 0.5000 0.7500
O 0.5000 0.0000 0.2500
F 0.0000 0.5000 0.2500
F 0.5000 0.0000 0.7500
```

Calculated values
size of the total moment = 0.0 μB per formula unit
uncorrected energy = -32.96 eV/f.u.
crystal system = tetragonal
space group = I-4m2 (119)
E_form (uncorrected) = -2.543 eV per atom



4.
Entry from Alexandria via LeMat-Bulk: a geometry-optimized K3Hf2O4F3 structure (PBE-GGA). Values from VASP.

Structure (Quantum ESPRESSO input):
```
&SYSTEM
  ibrav = 0, nat = 12, ntyp = 4
/
ATOMIC_SPECIES
K 39.10 K.upf
Hf 178.49 Hf.upf
O 16.00 O.upf
F 19.00 F.upf
CELL_PARAMETERS angstrom
-2.0148 2.1123 11.5046
2.0148 -2.1123 11.5046
2.0148 2.1123 -11.5046
ATOMIC_POSITIONS crystal
K 0.0000 0.0000 0.0000
K 0.1982 0.1982 0.0000
K 0.8018 0.8018 0.0000
Hf 0.3976 0.3976 0.0000
Hf 0.6024 0.6024 0.0000
O 0.3153 0.3153 0.0000
O 0.4113 0.9113 0.5000
O 0.5887 0.0887 0.5000
O 0.6847 0.6847 0.0000
F 0.0913 0.5913 0.5000
F 0.5000 0.5000 0.0000
F 0.9087 0.4087 0.5000
```

Calculated values
size of the total moment = 0.0 μB per formula unit
uncorrected energy = -84.40 eV/f.u.
crystal system = orthorhombic
space group = Immm (71)
E_form (uncorrected) = -2.980 eV per atom



5.
Entry from Alexandria via LeMat-Bulk: a geometry-optimized HfZn3Rh structure (PBE-GGA). Values from VASP.

Structure (Quantum ESPRESSO input):
```
&SYSTEM
  ibrav = 0, nat = 5, ntyp = 3
/
ATOMIC_SPECIES
Hf 178.49 Hf.upf
Zn 65.41 Zn.upf
Rh 102.91 Rh.upf
CELL_PARAMETERS angstrom
4.6212 0.0000 0.0000
0.0000 4.6212 0.0000
0.0000 0.0000 4.6212
ATOMIC_POSITIONS crystal
Hf 0.0000 0.0000 0.0000
Zn 0.0000 0.5000 0.5000
Zn 0.5000 0.0000 0.5000
Zn 0.5000 0.5000 0.0000
Rh 0.5000 0.5000 0.5000
```

Calculated values
energy above the most stable polymorph in this dataset = 739.0 meV per atom
size of the total moment = 0.0 μB per formula unit
uncorrected energy = -19.24 eV/f.u.
crystal system = cubic
space group = Pm-3m (221)
formation energy from the elements = 1.89 eV per formula unit



6.
Entry from Alexandria via LeMat-Bulk: a geometry-optimized CrPt3Se structure (PBE-GGA). Values from VASP.

Structure (Quantum ESPRESSO input):
```
&SYSTEM
  ibrav = 0, nat = 5, ntyp = 3
/
ATOMIC_SPECIES
Cr 52.00 Cr.upf
Pt 195.08 Pt.upf
Se 78.96 Se.upf
CELL_PARAMETERS angstrom
4.6815 0.0000 0.0000
0.0000 4.6815 0.0000
0.0000 0.0000 4.6815
ATOMIC_POSITIONS crystal
Cr 0.0000 0.0000 0.0000
Pt 0.0000 0.5000 0.5000
Pt 0.5000 0.0000 0.5000
Pt 0.5000 0.5000 0.0000
Se 0.5000 0.5000 0.5000
```

Calculated values
size of the total moment = 4.2 μB per formula unit
uncorrected energy = -27.91 eV/f.u.
crystal system = cubic
space group = Pm-3m (221)
E_form (uncorrected) = 0.664 eV per atom



7.
Entry from Alexandria via LeMat-Bulk: a geometry-optimized Dy2YHoAs4 structure (PBE-GGA). Values from VASP.

Structure (Quantum ESPRESSO input):
```
&SYSTEM
  ibrav = 0, nat = 8, ntyp = 4
/
ATOMIC_SPECIES
Dy 162.50 Dy.upf
Y 88.91 Y.upf
Ho 164.93 Ho.upf
As 74.92 As.upf
CELL_PARAMETERS angstrom
7.1268 0.0000 0.0000
0.0000 4.1165 0.0000
-2.3747 0.0000 6.7196
ATOMIC_POSITIONS crystal
Dy 0.0000 0.0000 0.0000
Dy 0.0000 0.5000 0.5000
Y 0.5000 0.0000 0.5000
Ho 0.5000 0.5000 0.0000
As 0.2500 0.5000 0.2492
As 0.2505 0.0000 0.7510
As 0.7495 0.0000 0.2490
As 0.7500 0.5000 0.7508
```

Calculated values
size of the total moment = 0.0 μB per formula unit
uncorrected energy = -51.17 eV/f.u.
crystal system = monoclinic
space group = P2/m (10)
formation energy from the elements = -12.32 eV per formula unit



8.
Entry from Alexandria via LeMat-Bulk: a geometry-optimized Hf4Cr structure (PBE-GGA). Values from VASP.

Structure (Quantum ESPRESSO input):
```
&SYSTEM
  ibrav = 0, nat = 5, ntyp = 2
/
ATOMIC_SPECIES
Hf 178.49 Hf.upf
Cr 52.00 Cr.upf
CELL_PARAMETERS angstrom
4.8183 0.0000 0.0000
0.0000 4.8183 0.0000
0.0000 0.0000 4.8183
ATOMIC_POSITIONS crystal
Hf 0.0000 0.0000 0.0000
Hf 0.0000 0.5000 0.5000
Hf 0.5000 0.0000 0.5000
Hf 0.5000 0.5000 0.0000
Cr 0.5000 0.5000 0.5000
```

Calculated values
size of the total moment = 0.0 μB per formula unit
uncorrected energy = -46.50 eV/f.u.
crystal system = cubic
space group = Pm-3m (221)
formation energy from the elements = 2.94 eV per formula unit